Density functional theory data (PBE) for Ba2CrTcB after structural relaxation.

- crystal system = tetragonal
- Fermi-level density of states (states/eV per cell) = 3.64
- calculated formation energy (eV per atom) = 0.939
- magnetization (μB per cell) = 5.08

Lattice parameters (Å, degrees): 5.962 5.962 4.105 90.00 90.00 90.00
Space group P4/mmm (No. 123)
Symmetry-distinct sites (fractional):
Ba (0.000, 0.500, 0.000) [2 per cell]
Cr (0.000, 0.000, 0.500) [1 per cell]
Tc (0.500, 0.500, 0.000) [1 per cell]
B (0.500, 0.500, 0.500) [1 per cell]

=====

Density functional theory data (PBE) for BaTiCrB2 after structural relaxation.

- crystal system = tetragonal
- Fermi-level density of states (states/eV per cell) = 5.26
- calculated formation energy (eV per atom) = 1.186
- magnetization (μB per cell) = 0.25

Lattice parameters (Å, degrees): 4.588 4.588 4.408 90.00 90.00 90.00
Space group P4/mmm (No. 123)
Symmetry-distinct sites (fractional):
Ba (0.000, 0.000, 0.000) [1 per cell]
Ti (0.500, 0.500, 0.500) [1 per cell]
Cr (0.500, 0.500, 0.000) [1 per cell]
B (0.000, 0.500, 0.500) [2 per cell]

=====

Density functional theory data (PBE) for Ba2VCrB after structural relaxation.

- crystal system = tetragonal
- Fermi-level density of states (states/eV per cell) = 9.14
- calculated formation energy (eV per atom) = 1.158
- magnetization (μB per cell) = 3.13

Lattice parameters (Å, degrees): 6.026 6.026 4.112 90.00 90.00 90.00
Space group P4/mmm (No. 123)
Symmetry-distinct sites (fractional):
Ba (0.000, 0.500, 0.000) [2 per cell]
V (0.000, 0.000, 0.500) [1 per cell]
Cr (0.500, 0.500, 0.500) [1 per cell]
B (0.500, 0.500, 0.000) [1 per cell]

=====

Density functional theory data (PBE) for Cs2Ba2B after structural relaxation.

- crystal system = tetragonal
- Fermi-level density of states (states/eV per cell) = 17.50
- calculated formation energy (eV per atom) = 1.070
- magnetization (μB per cell) = 0.00

Lattice parameters (Å, degrees): 4.632 4.632 23.997 90.00 90.00 90.00
Space group I4/mmm (No. 139)
Symmetry-distinct sites (fractional):
Cs (0.000, 0.500, 0.250) [4 per cell]
Ba (0.000, 0.000, 0.072) [4 per cell]
B (0.000, 0.000, 0.500) [2 per cell]

=====

Density functional theory data (PBE) for CsBaB2 after structural relaxation.

- crystal system = tetragonal
- Fermi-level density of states (states/eV per cell) = 14.94
- calculated formation energy (eV per atom) = 1.774
- energy relative to the lowest polymorph listed for this composition (meV per atom) = 189.3
- magnetization (μB per cell) = 5.79

Lattice parameters (Å, degrees): 8.528 8.528 7.685 90.00 90.00 90.00
Space group I-42d (No. 122)
Symmetry-distinct sites (fractional):
Cs (0.000, 0.000, 0.000) [4 per cell]
Ba (0.000, 0.000, 0.500) [4 per cell]
B (0.200, 0.250, 0.625) [8 per cell]

=====

Density functional theory data (PBE) for CsBaB2 after structural relaxation.

- crystal system = cubic
- Fermi-level density of states (states/eV per cell) = 15.31
- calculated formation energy (eV per atom) = 1.585
- energy relative to the lowest polymorph listed for this composition (meV per atom) = 0.0
- magnetization (μB per cell) = 0.00

Lattice parameters (Å, degrees): 7.628 7.628 7.628 90.00 90.00 90.00
Space group Fm-3m (No. 225)
Symmetry-distinct sites (fractional):
Cs (0.000, 0.000, 0.000) [4 per cell]
Ba (0.000, 0.000, 0.500) [4 per cell]
B (0.250, 0.250, 0.250) [8 per cell]